# 1
Computed, not measured: a relaxed structure of RbPuCd2Cl8 at the PBE level of DFT.

For the density of states at the Fermi level, the calculation gives 0.753 states/eV per atom. Its energy is -4.132 eV/atom. The value obtained for the uncorrected formation energy is -1.474 eV per atom. Its magnetization is 5.0 μB/f.u.

Cell and atoms, written as CIF:
```
data_RbPuCd2Cl8
_cell_length_a 6.570
_cell_length_b 6.731
_cell_length_c 9.291
_cell_angle_alpha 78.65
_cell_angle_beta 80.26
_cell_angle_gamma 79.62
_symmetry_space_group_name_H-M 'P -1'
_symmetry_Int_Tables_number 2
_symmetry_space_group_name_Hall '-P 1'
loop_
_atom_site_label
_atom_site_type_symbol
_atom_site_fract_x
_atom_site_fract_y
_atom_site_fract_z
Rb1 Rb 0.000 0.000 0.000
Pu1 Pu 0.000 0.000 0.500
Cd1 Cd 0.456 0.448 0.218
Cl1 Cl 0.171 0.729 0.727
Cl2 Cl 0.227 0.783 0.291
Cl3 Cl 0.293 0.246 0.465
Cl4 Cl 0.361 0.300 0.010
```


# 2
Computed, not measured: a relaxed structure of RbPu2CdCl8 at the PBE level of DFT.

For the density of states at the Fermi level, the calculation gives 2.328 states/eV per atom. Its energy is -5.463 eV/atom. The value obtained for the uncorrected formation energy is -1.686 eV per atom. Its magnetization is 11.0 μB/f.u.

Cell and atoms, written as CIF:
```
data_RbPu2CdCl8
_cell_length_a 6.602
_cell_length_b 8.711
_cell_length_c 6.754
_cell_angle_alpha 90.00
_cell_angle_beta 92.96
_cell_angle_gamma 90.00
_symmetry_space_group_name_H-M 'P 1 2/m 1'
_symmetry_Int_Tables_number 10
_symmetry_space_group_name_Hall '-P 2y'
loop_
_atom_site_label
_atom_site_type_symbol
_atom_site_fract_x
_atom_site_fract_y
_atom_site_fract_z
Rb1 Rb 0.000 0.000 0.000
Pu1 Pu 0.500 0.258 0.500
Cd1 Cd 0.000 0.500 0.000
Cl1 Cl 0.239 0.290 0.167
Cl2 Cl 0.273 0.500 0.659
Cl3 Cl 0.283 0.000 0.624
```


# 3
Computed, not measured: a relaxed structure of RbPuCdCl6 at the PBE level of DFT.

For the density of states at the Fermi level, the calculation gives 1.094 states/eV per atom. Its energy is -4.636 eV/atom. The value obtained for the uncorrected formation energy is -1.603 eV per atom. Its magnetization is 5.0 μB/f.u.

Cell and atoms, written as CIF:
```
data_RbPuCdCl6
_cell_length_a 9.582
_cell_length_b 10.053
_cell_length_c 14.117
_cell_angle_alpha 90.00
_cell_angle_beta 90.00
_cell_angle_gamma 90.00
_symmetry_space_group_name_H-M 'I m m a'
_symmetry_Int_Tables_number 74
_symmetry_space_group_name_Hall '-I 2b 2'
loop_
_atom_site_label
_atom_site_type_symbol
_atom_site_fract_x
_atom_site_fract_y
_atom_site_fract_z
Rb1 Rb 0.000 0.250 0.039
Pu1 Pu 0.000 0.000 0.500
Cd1 Cd 0.250 0.250 0.750
Cl1 Cl 0.000 0.250 0.424
Cl2 Cl 0.000 0.250 0.811
Cl3 Cl 0.217 0.056 0.617
```


# 4
Computed, not measured: a relaxed structure of RbCdCl2 at the PBE level of DFT.

For the density of states at the Fermi level, the calculation gives 0.028 states/eV per atom. Its energy is -2.523 eV/atom. The value obtained for the uncorrected formation energy is -1.129 eV per atom. Its magnetization is 0.0 μB/f.u.

Cell and atoms, written as CIF:
```
data_RbCdCl2
_cell_length_a 6.628
_cell_length_b 6.628
_cell_length_c 15.156
_cell_angle_alpha 90.00
_cell_angle_beta 90.00
_cell_angle_gamma 90.00
_symmetry_space_group_name_H-M 'I -4 2 d'
_symmetry_Int_Tables_number 122
_symmetry_space_group_name_Hall 'I -4 2bw'
loop_
_atom_site_label
_atom_site_type_symbol
_atom_site_fract_x
_atom_site_fract_y
_atom_site_fract_z
Rb1 Rb 0.000 0.000 0.000
Cd1 Cd 0.000 0.000 0.500
Cl1 Cl 0.185 0.250 0.625
```